Record 1
First-principles (PBE+U) data for an optimized crystal structure of Os2W2O, as listed in Alexandria.

Output
**D(E_F)**: 0.507 states/eV/atom
**M_tot**: 0.18 μB per atom
**Energy above the most stable polymorph in this dataset**: 0.331 eV/atom

a = 6.1604 Å, b = 6.1604 Å, c = 6.1604 Å
α = 140.21°, β = 140.21°, γ = 57.54°
Fractional positions:
1 Os 0.1190 0.1190 0.0000
2 Os 0.8810 0.8810 0.0000
3 W 0.2500 0.7500 0.5000
4 W 0.7500 0.2500 0.5000
5 O 0.5000 0.5000 0.0000

Record 2
First-principles (PBE+U) data for an optimized crystal structure of OsWO2, as listed in Alexandria.

Output
**D(E_F)**: 0.775 states/eV/atom
**M_tot**: 0.10 μB per atom
**Energy above the most stable polymorph in this dataset**: 0.000 eV/atom

a = 7.1320 Å, b = 7.1320 Å, c = 7.1320 Å
α = 22.23°, β = 22.23°, γ = 22.23°
Fractional positions:
1 Os 0.0000 0.0000 0.0000
2 W 0.5000 0.5000 0.5000
3 O 0.0970 0.0970 0.0970
4 O 0.9030 0.9030 0.9030

Record 3
First-principles (PBE+U) data for an optimized crystal structure of OsWO3, as listed in Alexandria.

Output
**D(E_F)**: 0.697 states/eV/atom
**M_tot**: 0.46 μB per atom
**Total energy**: -33.7 eV/cell

a = 4.0085 Å, b = 4.0085 Å, c = 4.0085 Å
α = 90.00°, β = 90.00°, γ = 90.00°
Fractional positions:
1 Os 0.0000 0.0000 0.0000
2 W 0.5000 0.5000 0.5000
3 O 0.0000 0.5000 0.5000
4 O 0.5000 0.0000 0.5000
5 O 0.5000 0.5000 0.0000

Record 4
First-principles (PBE+U) data for an optimized crystal structure of OsWO3, as listed in Alexandria.

Output
**D(E_F)**: 0.681 states/eV/atom
**M_tot**: 0.59 μB per atom
**Total energy**: -33.0 eV/cell

a = 3.9259 Å, b = 3.9259 Å, c = 3.9259 Å
α = 90.00°, β = 90.00°, γ = 90.00°
Fractional positions:
1 Os 0.0000 0.0000 0.0000
2 W 0.5000 0.5000 0.5000
3 O 0.0000 0.0000 0.5000
4 O 0.0000 0.5000 0.0000
5 O 0.5000 0.0000 0.0000

Record 5
First-principles (PBE+U) data for an optimized crystal structure of OsWO6, as listed in Alexandria.

Output
**D(E_F)**: 0.407 states/eV/atom
**M_tot**: 0.00 μB per atom
**Total energy**: -59.9 eV/cell

a = 5.4006 Å, b = 5.4006 Å, c = 5.4006 Å
α = 60.00°, β = 60.00°, γ = 60.00°
Fractional positions:
1 Os 0.0000 0.0000 0.0000
2 W 0.5000 0.5000 0.5000
3 O 0.2472 0.2472 0.7528
4 O 0.2472 0.7528 0.2472
5 O 0.2472 0.7528 0.7528
6 O 0.7528 0.2472 0.2472
7 O 0.7528 0.2472 0.7528
8 O 0.7528 0.7528 0.2472

Record 6
First-principles (PBE+U) data for an optimized crystal structure of Os2W2O, as listed in Alexandria.

Output
**D(E_F)**: 0.477 states/eV/atom
**M_tot**: 0.00 μB per atom
**Energy above the most stable polymorph in this dataset**: 0.000 eV/atom

a = 7.4581 Å, b = 7.4581 Å, c = 2.9351 Å
α = 90.00°, β = 90.00°, γ = 90.00°
Fractional positions:
1 Os 0.1385 0.3615 0.0000
2 Os 0.3615 0.8615 0.0000
3 Os 0.6385 0.1385 0.0000
4 Os 0.8615 0.6385 0.0000
5 W 0.1541 0.6541 0.5000
6 W 0.3459 0.1541 0.5000
7 W 0.6541 0.8459 0.5000
8 W 0.8459 0.3459 0.5000
9 O 0.0000 0.0000 0.0000
10 O 0.5000 0.5000 0.0000

Record 7
First-principles (PBE+U) data for an optimized crystal structure of OsWO5, as listed in Alexandria.

Output
**D(E_F)**: 0.377 states/eV/atom
**M_tot**: 0.00 μB per atom
**Total energy**: -106.3 eV/cell

a = 5.2124 Å, b = 5.2124 Å, c = 7.0180 Å
α = 109.13°, β = 109.13°, γ = 74.32°
Fractional positions:
1 Os 0.0000 0.0000 0.0000
2 Os 0.0000 0.0000 0.5000
3 W 0.4629 0.5371 0.7500
4 W 0.5371 0.4629 0.2500
5 O 0.1400 0.8600 0.7500
6 O 0.2247 0.2742 0.6284
7 O 0.2742 0.2247 0.1284
8 O 0.3112 0.6744 0.0369
9 O 0.3256 0.6888 0.4631
10 O 0.6744 0.3112 0.5369
11 O 0.6888 0.3256 0.9631
12 O 0.7258 0.7753 0.8716
13 O 0.7753 0.7258 0.3716
14 O 0.8600 0.1400 0.2500

Record 8
First-principles (PBE+U) data for an optimized crystal structure of OsWO2, as listed in Alexandria.

Output
**D(E_F)**: 0.068 states/eV/atom
**M_tot**: 0.50 μB per atom
**Energy above the most stable polymorph in this dataset**: 0.548 eV/atom

a = 5.9071 Å, b = 5.9071 Å, c = 5.9071 Å
α = 132.83°, β = 132.83°, γ = 68.91°
Fractional positions:
1 Os 0.0000 0.0000 0.0000
2 Os 0.7500 0.2500 0.5000
3 W 0.2500 0.7500 0.5000
4 W 0.5000 0.5000 0.0000
5 O 0.1336 0.6250 0.0086
6 O 0.3750 0.3836 0.5086
7 O 0.6164 0.1250 0.9914
8 O 0.8750 0.8664 0.4914

Record 9
First-principles (PBE+U) data for an optimized crystal structure of Zr2OsWO, as listed in Alexandria.

Output
**D(E_F)**: 0.683 states/eV/atom
**M_tot**: 0.47 μB per atom
**Energy above the most stable polymorph in this dataset**: 0.000 eV/atom

a = 4.4610 Å, b = 4.4610 Å, c = 4.1790 Å
α = 90.00°, β = 90.00°, γ = 90.00°
Fractional positions:
1 Zr 0.0000 0.5000 0.0000
2 Zr 0.5000 0.0000 0.0000
3 Os 0.0000 0.0000 0.5000
4 W 0.5000 0.5000 0.5000
5 O 0.5000 0.5000 0.0000

Record 10
First-principles (PBE+U) data for an optimized crystal structure of Zr2OsWO, as listed in Alexandria.

Output
**D(E_F)**: 0.630 states/eV/atom
**M_tot**: 0.33 μB per atom
**Energy above the most stable polymorph in this dataset**: 1.744 eV/atom

a = 5.0601 Å, b = 5.0601 Å, c = 4.8941 Å
α = 90.00°, β = 90.00°, γ = 90.00°
Fractional positions:
1 Zr 0.0000 0.5000 0.0000
2 Zr 0.5000 0.0000 0.0000
3 Os 0.0000 0.0000 0.0000
4 W 0.0000 0.0000 0.5000
5 O 0.5000 0.5000 0.5000